1.
# TlOs3

A relaxed structure of TlOs3 (PBE, the Alexandria database).

abc: 5.242 8.987 5.585
angles: 90.00 90.00 90.00
Positions (direct):
1 Tl 0.052 0.250 0.120
2 Tl 0.448 0.750 0.620
3 Tl 0.552 0.250 0.380
4 Tl 0.948 0.750 0.880
5 Os 0.096 0.250 0.636
6 Os 0.193 0.511 0.351
7 Os 0.193 0.989 0.351
8 Os 0.307 0.011 0.851
9 Os 0.307 0.489 0.851
10 Os 0.404 0.750 0.136
11 Os 0.596 0.250 0.864
12 Os 0.693 0.511 0.149
13 Os 0.693 0.989 0.149
14 Os 0.807 0.011 0.649
15 Os 0.807 0.489 0.649
16 Os 0.904 0.750 0.364

space-group type	No. 62
crystal system	orthorhombic
spin magnetization	0.0	μB/f.u.
calculated density	19.6	g/cm3
offset from the most stable computed form	144	meV per atom
density of states at the Fermi level	11.9	states/eV/cell

---

2.
# FeCoSi2

A relaxed structure of FeCoSi2 (PBE, the Alexandria database).

abc: 3.923 3.923 3.923
angles: 60.00 60.00 60.00
Positions (direct):
1 Fe 0.000 0.000 0.000
2 Co 0.500 0.500 0.500
3 Si 0.250 0.250 0.250
4 Si 0.750 0.750 0.750

space-group type	No. 225
crystal system	cubic
spin magnetization	1.1	μB/f.u.
calculated density	6.6	g/cm3
E_form (uncorrected)	-435.6	meV/atom
density of states at the Fermi level	1.6	states/eV/cell

---

3.
# Ca2Ga4Pt3Au

A relaxed structure of Ca2Ga4Pt3Au (PBE, the Alexandria database).

abc: 4.454 4.454 10.008
angles: 90.00 90.00 90.00
Positions (direct):
1 Ca 0.000 0.500 0.248
2 Ca 0.500 0.000 0.752
3 Ga 0.000 0.000 0.500
4 Ga 0.000 0.500 0.871
5 Ga 0.500 0.000 0.129
6 Ga 0.500 0.500 0.500
7 Pt 0.000 0.000 0.000
8 Pt 0.000 0.500 0.625
9 Pt 0.500 0.000 0.375
10 Au 0.500 0.500 0.000

space-group type	No. 115
crystal system	tetragonal
spin magnetization	0.0	μB/f.u.
calculated density	9.5	g/cm3
density of states at the Fermi level	4.4	states/eV/cell

---

| no. | total DFT energy (no corrections) (eV per cell) |
| --- | --- |
| 1 | -131.2 |
| 2 | -28.2 |
| 3 | -45.5 |